# Ag4Sn

An optimized crystal structure of Ag4Sn (PBE, the Alexandria database).

Lattice parameters (Å, degrees): 8.1591 4.8497 5.4369 90.00 117.01 90.00
With the nearest neighbours (Å) after each atom.
Element x y z (fractional)
Ag (0.0985, 0.0000, 0.2964)  5 Ag 2.88-2.95, 3 Sn 2.93-2.94
Ag (0.1989, 0.5000, 0.0956)  1 Sn 2.89, 7 Ag 2.91-2.95
Ag (0.3011, 0.0000, 0.9044)  1 Sn 2.89, 7 Ag 2.91-2.95
Ag (0.4015, 0.5000, 0.7036)  5 Ag 2.88-2.95, 3 Sn 2.93-2.94
Ag (0.5985, 0.5000, 0.2964)  5 Ag 2.88-2.95, 3 Sn 2.93-2.94
Ag (0.6989, 0.0000, 0.0956)  1 Sn 2.89, 7 Ag 2.91-2.95
Ag (0.8011, 0.5000, 0.9044)  1 Sn 2.89, 7 Ag 2.91-2.95
Ag (0.9015, 0.0000, 0.7036)  5 Ag 2.88-2.95, 3 Sn 2.93-2.94
Sn (0.0000, 0.5000, 0.5000)  8 Ag 2.89-2.94
Sn (0.5000, 0.0000, 0.5000)  8 Ag 2.89-2.94

- V: 19.2 Å³ per atom
- Energy of formation: 25 meV per atom
- Space-group type: C2/m (12)

# Ag13Sn2

An optimized crystal structure of Ag13Sn2 (PBE, the Alexandria database).

Lattice parameters (Å, degrees): 8.2515 8.2515 8.2515 53.98 53.98 53.98
With the nearest neighbours (Å) after each atom.
Element x y z (fractional)
Ag (0.0000, 0.0000, 0.0000)  2 Sn 2.78, 6 Ag 2.84
Ag (0.1128, 0.1128, 0.4964)  2 Sn 2.79-2.83, 5 Ag 2.82-2.90
Ag (0.1128, 0.4964, 0.1128)  2 Sn 2.79-2.83, 5 Ag 2.82-2.90
Ag (0.2496, 0.2496, 0.6242)  6 Ag 2.81-2.90
Ag (0.2496, 0.6242, 0.2496)  6 Ag 2.81-2.90
Ag (0.3758, 0.7504, 0.7504)  6 Ag 2.81-2.90
Ag (0.4964, 0.1128, 0.1128)  2 Sn 2.79-2.83, 5 Ag 2.82-2.90
Ag (0.5036, 0.8872, 0.8872)  2 Sn 2.79-2.83, 5 Ag 2.82-2.90
Ag (0.6242, 0.2496, 0.2496)  6 Ag 2.81-2.90
Ag (0.7504, 0.3758, 0.7504)  6 Ag 2.81-2.90
Ag (0.7504, 0.7504, 0.3758)  6 Ag 2.81-2.90
Ag (0.8872, 0.5036, 0.8872)  2 Sn 2.79-2.83, 5 Ag 2.82-2.90
Ag (0.8872, 0.8872, 0.5036)  2 Sn 2.79-2.83, 5 Ag 2.82-2.90
Sn (0.1317, 0.1317, 0.1317)  7 Ag 2.78-2.83
Sn (0.8683, 0.8683, 0.8683)  7 Ag 2.78-2.83

- V: 22.8 Å³ per atom
- Relative energy among the computed polymorphs: 2.980 eV/f.u.
- Energy of formation: 213 meV per atom
- Space-group type: R-3m (166)

# AgSn3

An optimized crystal structure of AgSn3 (PBE, the Alexandria database).

Lattice parameters (Å, degrees): 3.2767 3.6551 8.6946 90.00 90.00 90.00
With the nearest neighbours (Å) after each atom.
Element x y z (fractional)
Ag (0.0000, 0.0000, 0.0000)  6 Sn 2.91-2.98
Sn (0.0000, 0.5000, 0.2608)  2 Ag 2.91, 4 Sn 3.26
Sn (0.5000, 0.0000, 0.5073)  8 Sn 3.17-3.28
Sn (0.5000, 0.5000, 0.8053)  4 Ag 2.98, 4 Sn 3.17-3.28

- V: 26.0 Å³ per atom
- Energy of formation: 91 meV per atom
- Space-group type: Pmm2 (25)

# Ag3Sn

An optimized crystal structure of Ag3Sn (PBE, the Alexandria database).

Lattice parameters (Å, degrees): 6.7941 6.7941 6.7941 90.00 90.00 90.00
With the nearest neighbours (Å) after each atom.
Element x y z (fractional)
Ag (0.0000, 0.0000, 0.0000)  8 Ag 2.94
Ag (0.0000, 0.5000, 0.5000)  8 Ag 2.94
Ag (0.2500, 0.2500, 0.2500)  4 Sn 2.94, 4 Ag 2.94
Ag (0.2500, 0.2500, 0.7500)  4 Sn 2.94, 4 Ag 2.94
Ag (0.2500, 0.7500, 0.2500)  4 Sn 2.94, 4 Ag 2.94
Ag (0.2500, 0.7500, 0.7500)  4 Sn 2.94, 4 Ag 2.94
Ag (0.5000, 0.0000, 0.5000)  8 Ag 2.94
Ag (0.5000, 0.5000, 0.0000)  8 Ag 2.94
Ag (0.7500, 0.2500, 0.2500)  4 Sn 2.94, 4 Ag 2.94
Ag (0.7500, 0.2500, 0.7500)  4 Sn 2.94, 4 Ag 2.94
Ag (0.7500, 0.7500, 0.2500)  4 Sn 2.94, 4 Ag 2.94
Ag (0.7500, 0.7500, 0.7500)  4 Sn 2.94, 4 Ag 2.94
Sn (0.0000, 0.0000, 0.5000)  8 Ag 2.94
Sn (0.0000, 0.5000, 0.0000)  8 Ag 2.94
Sn (0.5000, 0.0000, 0.0000)  8 Ag 2.94
Sn (0.5000, 0.5000, 0.5000)  8 Ag 2.94

- V: 19.6 Å³ per atom
- Energy of formation: 25 meV per atom
- Space-group type: Fm-3m (225)

# Ag3Sn

An optimized crystal structure of Ag3Sn (PBE, the Alexandria database).

Lattice parameters (Å, degrees): 4.2543 4.2543 8.6001 90.00 90.00 90.00
With the nearest neighbours (Å) after each atom.
Element x y z (fractional)
Ag (0.0000, 0.0000, 0.0000)  4 Sn 3.01, 8 Ag 3.02
Ag (0.0000, 0.5000, 0.2500)  8 Ag 3.01-3.02, 4 Sn 3.02
Ag (0.0000, 0.5000, 0.7500)  8 Ag 3.01-3.02, 4 Sn 3.02
Ag (0.5000, 0.0000, 0.2500)  8 Ag 3.01-3.02, 4 Sn 3.02
Ag (0.5000, 0.0000, 0.7500)  8 Ag 3.01-3.02, 4 Sn 3.02
Ag (0.5000, 0.5000, 0.5000)  4 Sn 3.01, 8 Ag 3.02
Sn (0.0000, 0.0000, 0.5000)  12 Ag 3.01-3.02
Sn (0.5000, 0.5000, 0.0000)  12 Ag 3.01-3.02

- V: 19.5 Å³ per atom
- Energy of formation: 11 meV per atom
- Space-group type: I4/mmm (139)

# Ag3Sn

An optimized crystal structure of Ag3Sn (PBE, the Alexandria database).

Lattice parameters (Å, degrees): 3.2361 9.5037 5.1109 90.00 90.00 90.00
With the nearest neighbours (Å) after each atom.
Element x y z (fractional)
Ag (0.0000, 0.0000, 0.0000)  8 Ag 2.95-3.24, 4 Sn 2.99-3.06
Ag (0.0000, 0.2543, 0.6567)  3 Sn 2.95-3.01, 9 Ag 2.95-3.24
Ag (0.0000, 0.7457, 0.6567)  3 Sn 2.95-3.01, 9 Ag 2.95-3.24
Ag (0.5000, 0.2457, 0.1567)  3 Sn 2.95-3.01, 9 Ag 2.95-3.24
Ag (0.5000, 0.5000, 0.5000)  8 Ag 2.95-3.24, 4 Sn 2.99-3.06
Ag (0.5000, 0.7543, 0.1567)  3 Sn 2.95-3.01, 9 Ag 2.95-3.24
Sn (0.0000, 0.5000, 0.0087)  10 Ag 2.95-3.06, 2 Sn 3.24
Sn (0.5000, 0.0000, 0.5087)  10 Ag 2.95-3.06, 2 Sn 3.24

- V: 19.6 Å³ per atom
- Energy of formation: 21 meV per atom
- Space-group type: Imm2 (44)

# Sr3Ag4Sn2

An optimized crystal structure of Sr3Ag4Sn2 (PBE, the Alexandria database).

Lattice parameters (Å, degrees): 6.3435 6.3435 9.4643 109.83 109.83 45.42
With the nearest neighbours (Å) after each atom.
Element x y z (fractional)
Sr (0.0000, 0.0000, 0.0000)  8 Ag 3.46-3.75, 4 Sn 3.74
Sr (0.3551, 0.3551, 0.3115)  8 Ag 3.29-3.58, 4 Sn 3.40-3.55
Sr (0.6449, 0.6449, 0.6885)  8 Ag 3.29-3.58, 4 Sn 3.40-3.55
Ag (0.0948, 0.0948, 0.4237)  3 Sn 2.81-3.13, 1 Ag 3.06
Ag (0.2784, 0.2784, 0.9403)  1 Sn 2.85, 2 Ag 2.88
Ag (0.7216, 0.7216, 0.0597)  1 Sn 2.85, 2 Ag 2.88
Ag (0.9052, 0.9052, 0.5763)  3 Sn 2.81-3.13, 1 Ag 3.06
Sn (0.3537, 0.3537, 0.6861)  4 Ag 2.81-3.13
Sn (0.6463, 0.6463, 0.3139)  4 Ag 2.81-3.13

- V: 28.0 Å³ per atom
- Energy of formation: -396 meV per atom
- Space-group type: C2/m (12)

# Sr2AgSn2

An optimized crystal structure of Sr2AgSn2 (PBE, the Alexandria database).

Lattice parameters (Å, degrees): 6.4227 6.4227 11.8919 115.59 115.59 45.16
With the nearest neighbours (Å) after each atom.
Element x y z (fractional)
Sr (0.0175, 0.0175, 0.3335)  4 Ag 3.44-3.60, 7 Sn 3.44-3.66
Sr (0.1868, 0.1868, 0.1078)  6 Sn 3.45-3.50, 2 Ag 3.62
Sr (0.8132, 0.8132, 0.8922)  6 Sn 3.45-3.50, 2 Ag 3.62
Sr (0.9825, 0.9825, 0.6665)  4 Ag 3.44-3.60, 7 Sn 3.44-3.66
Ag (0.2749, 0.2749, 0.6540)  4 Sn 2.86-3.15
Ag (0.7251, 0.7251, 0.3460)  4 Sn 2.86-3.15
Sn (0.3588, 0.3588, 0.4384)  3 Ag 2.86-3.15, 1 Sn 2.96
Sn (0.4816, 0.4816, 0.1157)  1 Ag 2.90, 1 Sn 2.98
Sn (0.5184, 0.5184, 0.8843)  1 Ag 2.90, 1 Sn 2.98
Sn (0.6412, 0.6412, 0.5616)  3 Ag 2.86-3.15, 1 Sn 2.96

- V: 30.7 Å³ per atom
- Relative energy among the computed polymorphs: 0.000 eV/f.u.
- Energy of formation: -579 meV per atom
- Space-group type: C2/m (12)

# Sr3AgSn4

An optimized crystal structure of Sr3AgSn4 (PBE, the Alexandria database).

Lattice parameters (Å, degrees): 4.9242 6.2634 18.3378 90.00 90.00 90.00
With the nearest neighbours (Å) after each atom.
Element x y z (fractional)
Sr (0.0000, 0.0000, 0.0000)  8 Sn 3.61, 4 Ag 3.98
Sr (0.0000, 0.5000, 0.2104)  6 Sn 3.41-3.44
Sr (0.0000, 0.5000, 0.7896)  6 Sn 3.41-3.44
Sr (0.5000, 0.0000, 0.2896)  6 Sn 3.41-3.44
Sr (0.5000, 0.0000, 0.7104)  6 Sn 3.41-3.44
Sr (0.5000, 0.5000, 0.5000)  8 Sn 3.61, 4 Ag 3.98
Ag (0.0000, 0.0000, 0.5000)  4 Sn 2.76
Ag (0.5000, 0.5000, 0.0000)  4 Sn 2.76
Sn (0.0000, 0.2672, 0.3804)  1 Ag 2.76, 1 Sn 2.92
Sn (0.0000, 0.2672, 0.6196)  1 Ag 2.76, 1 Sn 2.92
Sn (0.0000, 0.7328, 0.3804)  1 Ag 2.76, 1 Sn 2.92
Sn (0.0000, 0.7328, 0.6196)  1 Ag 2.76, 1 Sn 2.92
Sn (0.5000, 0.2328, 0.1196)  1 Ag 2.76, 1 Sn 2.92
Sn (0.5000, 0.2328, 0.8804)  1 Ag 2.76, 1 Sn 2.92
Sn (0.5000, 0.7672, 0.1196)  1 Ag 2.76, 1 Sn 2.92
Sn (0.5000, 0.7672, 0.8804)  1 Ag 2.76, 1 Sn 2.92

- V: 35.3 Å³ per atom
- Energy of formation: -343 meV per atom
- Space-group type: Immm (71)

# Sr2AgSn5

An optimized crystal structure of Sr2AgSn5 (PBE, the Alexandria database).

Lattice parameters (Å, degrees): 6.6269 6.6269 10.7320 90.00 90.00 90.00
With the nearest neighbours (Å) after each atom.
Element x y z (fractional)
Sr (0.0000, 0.5000, 0.0000)  10 Sn 3.37-3.64, 2 Ag 3.50
Sr (0.0000, 0.5000, 0.5000)  10 Sn 3.37-3.64, 2 Ag 3.50
Sr (0.5000, 0.0000, 0.0000)  10 Sn 3.37-3.64, 2 Ag 3.50
Sr (0.5000, 0.0000, 0.5000)  10 Sn 3.37-3.64, 2 Ag 3.50
Ag (0.0000, 0.0000, 0.1048)  4 Sn 2.93
Ag (0.5000, 0.5000, 0.6048)  4 Sn 2.93
Sn (0.0000, 0.0000, 0.5580)  4 Sn 3.13, 4 Sr 3.37
Sn (0.2420, 0.2420, 0.7593)  1 Ag 2.93, 3 Sn 3.13-3.21
Sn (0.2420, 0.7580, 0.7593)  1 Ag 2.93, 3 Sn 3.13-3.21
Sn (0.2580, 0.2580, 0.2593)  1 Ag 2.93, 3 Sn 3.13-3.21
Sn (0.2580, 0.7420, 0.2593)  1 Ag 2.93, 3 Sn 3.13-3.21
Sn (0.5000, 0.5000, 0.0580)  4 Sn 3.13, 4 Sr 3.37
Sn (0.7420, 0.2580, 0.2593)  1 Ag 2.93, 3 Sn 3.13-3.21
Sn (0.7420, 0.7420, 0.2593)  1 Ag 2.93, 3 Sn 3.13-3.21
Sn (0.7580, 0.2420, 0.7593)  1 Ag 2.93, 3 Sn 3.13-3.21
Sn (0.7580, 0.7580, 0.7593)  1 Ag 2.93, 3 Sn 3.13-3.21

- V: 29.5 Å³ per atom
- Energy of formation: -353 meV per atom
- Space-group type: I4mm (107)

Question: Among the records above, which one has the highest V?
Answer: Sr3AgSn4